Compound: CsRb2B4
Source: Alexandria
Functional: PBE-GGA
Structure: relaxed

Computed properties:
Formation energy (eV per formula unit): 18.15

abc: 5.289 5.289 16.805
angles: 90.00 90.00 90.00
Fractional coordinates of all 14 atoms:
Cs (0.000, 0.000, 0.000)
Cs (0.500, 0.500, 0.500)
Rb (0.000, 0.000, 0.354)
Rb (0.000, 0.000, 0.646)
Rb (0.500, 0.500, 0.146)
Rb (0.500, 0.500, 0.854)
B (0.000, 0.000, 0.152)
B (0.000, 0.000, 0.848)
B (0.000, 0.500, 0.000)
B (0.000, 0.500, 0.500)
B (0.500, 0.000, 0.000)
B (0.500, 0.000, 0.500)
B (0.500, 0.500, 0.348)
B (0.500, 0.500, 0.652)

Compound: Ba2ZnNi
Source: Alexandria
Functional: PBE-GGA
Structure: relaxed

Computed properties:
Formation energy (eV per formula unit): -0.30

abc: 4.593 4.473 7.093
angles: 90.00 108.89 90.00
Fractional coordinates of all 4 atoms:
Ba (0.000, 0.000, 0.000)
Ba (0.266, 0.500, 0.533)
Zn (0.585, 0.500, 0.172)
Ni (0.667, 0.000, 0.331)

Compound: CrCdMo2
Source: Alexandria
Functional: PBE-GGA
Structure: relaxed

Computed properties:
Formation energy (eV per formula unit): 1.62

abc: 2.717 4.260 5.599
angles: 90.00 100.83 90.00
Fractional coordinates of all 4 atoms:
Cr (0.000, 0.000, 0.000)
Cd (0.000, 0.000, 0.500)
Mo (0.440, 0.500, 0.218)
Mo (0.560, 0.500, 0.782)

Compound: CuRuI2N
Source: Alexandria
Functional: PBE-GGA
Structure: relaxed

Computed properties:
Energy above the most stable polymorph in this dataset (kJ per mole of atoms): 0.0
Formation energy (no corrections) (eV per atom): 0.571

abc: 5.531 5.531 3.699
angles: 90.00 90.00 90.00
Fractional coordinates of all 5 atoms:
Cu (0.000, 0.000, 0.000)
Ru (0.500, 0.500, 0.500)
I (0.000, 0.500, 0.500)
I (0.500, 0.000, 0.500)
N (0.500, 0.500, 0.000)

Compound: Pm4Pr3Ga4
Source: Alexandria
Functional: PBE-GGA
Structure: relaxed

Computed properties:
Formation energy (eV per formula unit): -3.81

abc: 9.946 9.946 9.946
angles: 154.32 131.52 55.66
Fractional coordinates of all 11 atoms:
Pm (0.035, 0.834, 0.201)
Pm (0.367, 0.166, 0.201)
Pm (0.633, 0.834, 0.799)
Pm (0.965, 0.166, 0.799)
Pr (0.000, 0.500, 0.500)
Pr (0.394, 0.394, 0.000)
Pr (0.606, 0.606, 0.000)
Ga (0.240, 0.740, 0.500)
Ga (0.310, 0.000, 0.310)
Ga (0.690, 0.000, 0.690)
Ga (0.760, 0.260, 0.500)

Compound: RbHo2AgSe4
Source: Alexandria
Functional: PBE-GGA
Structure: relaxed

Computed properties:
Formation energy (no corrections) (eV per atom): -1.453

abc: 7.446 7.446 14.825
angles: 90.00 90.00 147.14
Fractional coordinates of all 16 atoms:
Rb (0.120, 0.880, 0.750)
Rb (0.880, 0.120, 0.250)
Ho (0.369, 0.631, 0.567)
Ho (0.369, 0.631, 0.933)
Ho (0.631, 0.369, 0.067)
Ho (0.631, 0.369, 0.433)
Ag (0.164, 0.836, 0.250)
Ag (0.836, 0.164, 0.750)
Se (0.000, 0.000, 0.000)
Se (0.000, 0.000, 0.500)
Se (0.262, 0.738, 0.100)
Se (0.262, 0.738, 0.400)
Se (0.443, 0.557, 0.750)
Se (0.557, 0.443, 0.250)
Se (0.738, 0.262, 0.600)
Se (0.738, 0.262, 0.900)

Compound: CaHo3Mn
Source: Alexandria
Functional: PBE-GGA
Structure: relaxed

Computed properties:
Formation energy (eV per formula unit): 0.83

abc: 5.317 5.317 5.317
angles: 90.00 90.00 90.00
Fractional coordinates of all 5 atoms:
Ca (0.000, 0.000, 0.000)
Ho (0.000, 0.500, 0.500)
Ho (0.500, 0.000, 0.500)
Ho (0.500, 0.500, 0.000)
Mn (0.500, 0.500, 0.500)

Compound: SrLiMn2
Source: Alexandria
Functional: PBE-GGA
Structure: relaxed

Computed properties:
Energy above the most stable polymorph in this dataset (kJ per mole of atoms): 26.2
Formation energy (eV per formula unit): 2.55

abc: 3.468 5.271 10.087
angles: 90.00 90.00 90.00
Fractional coordinates of all 8 atoms:
Sr (0.000, 0.000, 0.000)
Sr (0.500, 0.500, 0.500)
Li (0.000, 0.500, 0.781)
Li (0.500, 0.000, 0.281)
Mn (0.000, 0.000, 0.507)
Mn (0.000, 0.500, 0.216)
Mn (0.500, 0.000, 0.716)
Mn (0.500, 0.500, 0.007)

Compound: TbNd2DyY
Source: Alexandria
Functional: PBE-GGA
Structure: relaxed

Computed properties:
Formation energy (eV per formula unit): 1.33

abc: 6.263 8.085 6.766
angles: 90.00 90.00 90.00
Fractional coordinates of all 10 atoms:
Tb (0.000, 0.000, 0.000)
Tb (0.500, 0.000, 0.000)
Nd (0.250, 0.302, 0.303)
Nd (0.250, 0.698, 0.303)
Nd (0.750, 0.302, 0.697)
Nd (0.750, 0.698, 0.697)
Dy (0.250, 0.500, 0.836)
Dy (0.750, 0.500, 0.164)
Y (0.250, 0.000, 0.586)
Y (0.750, 0.000, 0.414)

Compound: Sr2LiCa6
Source: Alexandria
Functional: PBE-GGA
Structure: relaxed

Computed properties:
Energy above the most stable polymorph in this dataset (kJ per mole of atoms): 0.7
Formation energy (eV per formula unit): 0.70

abc: 8.102 8.102 6.873
angles: 90.10 90.10 59.92
Fractional coordinates of all 9 atoms:
Sr (0.166, 0.166, 0.214)
Sr (0.834, 0.834, 0.786)
Li (0.500, 0.500, 0.000)
Ca (0.154, 0.673, 0.281)
Ca (0.326, 0.326, 0.720)
Ca (0.327, 0.846, 0.719)
Ca (0.673, 0.154, 0.281)
Ca (0.674, 0.674, 0.280)
Ca (0.846, 0.327, 0.719)

Compound: Na3YTl
Source: Alexandria
Functional: PBE-GGA
Structure: relaxed

Computed properties:
Energy above the most stable polymorph in this dataset (kJ per mole of atoms): 40.3
Formation energy (eV per formula unit): 4.45

abc: 6.391 6.391 6.391
angles: 90.00 90.00 90.00
Fractional coordinates of all 5 atoms:
Na (0.000, 0.000, 0.500)
Na (0.000, 0.500, 0.000)
Na (0.500, 0.000, 0.000)
Y (0.000, 0.000, 0.000)
Tl (0.500, 0.500, 0.500)

Compound: ThMgScOs
Source: Alexandria
Functional: PBE-GGA
Structure: relaxed

Computed properties:
Formation energy (eV per formula unit): -0.41

abc: 7.046 7.046 7.046
angles: 90.00 90.00 90.00
Fractional coordinates of all 16 atoms:
Th (0.000, 0.000, 0.000)
Th (0.000, 0.500, 0.500)
Th (0.500, 0.000, 0.500)
Th (0.500, 0.500, 0.000)
Mg (0.250, 0.250, 0.250)
Mg (0.250, 0.750, 0.750)
Mg (0.750, 0.250, 0.750)
Mg (0.750, 0.750, 0.250)
Sc (0.000, 0.000, 0.500)
Sc (0.000, 0.500, 0.000)
Sc (0.500, 0.000, 0.000)
Sc (0.500, 0.500, 0.500)
Os (0.250, 0.250, 0.750)
Os (0.250, 0.750, 0.250)
Os (0.750, 0.250, 0.250)
Os (0.750, 0.750, 0.750)

Compound: CdFe2Pd6
Source: Alexandria
Functional: PBE-GGA
Structure: relaxed

Computed properties:
Formation energy (eV per formula unit): -0.08

abc: 8.501 8.501 4.239
angles: 90.00 90.00 70.72
Fractional coordinates of all 18 atoms:
Cd (0.231, 0.769, 0.750)
Cd (0.769, 0.231, 0.250)
Fe (0.211, 0.357, 0.750)
Fe (0.357, 0.211, 0.250)
Fe (0.643, 0.789, 0.750)
Fe (0.789, 0.643, 0.250)
Pd (0.013, 0.182, 0.750)
Pd (0.025, 0.378, 0.250)
Pd (0.182, 0.013, 0.250)
Pd (0.281, 0.522, 0.250)
Pd (0.378, 0.025, 0.750)
Pd (0.478, 0.719, 0.250)
Pd (0.522, 0.281, 0.750)
Pd (0.622, 0.975, 0.250)
Pd (0.719, 0.478, 0.750)
Pd (0.818, 0.987, 0.750)
Pd (0.975, 0.622, 0.750)
Pd (0.987, 0.818, 0.250)

Compound: CeTmInPt
Source: Alexandria
Functional: PBE-GGA
Structure: relaxed

Computed properties:
Formation energy (eV per formula unit): -2.55

abc: 7.309 7.309 7.309
angles: 90.00 90.00 90.00
Fractional coordinates of all 16 atoms:
Ce (0.000, 0.000, 0.000)
Ce (0.000, 0.500, 0.500)
Ce (0.500, 0.000, 0.500)
Ce (0.500, 0.500, 0.000)
Tm (0.000, 0.000, 0.500)
Tm (0.000, 0.500, 0.000)
Tm (0.500, 0.000, 0.000)
Tm (0.500, 0.500, 0.500)
In (0.250, 0.250, 0.250)
In (0.250, 0.750, 0.750)
In (0.750, 0.250, 0.750)
In (0.750, 0.750, 0.250)
Pt (0.250, 0.250, 0.750)
Pt (0.250, 0.750, 0.250)
Pt (0.750, 0.250, 0.250)
Pt (0.750, 0.750, 0.750)

Compound: LiYTc
Source: Alexandria
Functional: PBE-GGA
Structure: relaxed

Computed properties:
Energy above the most stable polymorph in this dataset (kJ per mole of atoms): 79.7
Formation energy (eV per formula unit): 3.43

abc: 6.527 6.527 6.527
angles: 90.00 90.00 90.00
Fractional coordinates of all 12 atoms:
Li (0.000, 0.000, 0.000)
Li (0.000, 0.500, 0.500)
Li (0.500, 0.000, 0.500)
Li (0.500, 0.500, 0.000)
Y (0.250, 0.250, 0.750)
Y (0.250, 0.750, 0.250)
Y (0.750, 0.250, 0.250)
Y (0.750, 0.750, 0.750)
Tc (0.000, 0.000, 0.500)
Tc (0.000, 0.500, 0.000)
Tc (0.500, 0.000, 0.000)
Tc (0.500, 0.500, 0.500)

Compound: Pr4Zn3Cd
Source: Alexandria
Functional: PBE-GGA
Structure: relaxed

Computed properties:
Formation energy (eV per formula unit): -2.38

abc: 3.764 5.308 10.622
angles: 90.00 90.00 90.00
Fractional coordinates of all 8 atoms:
Pr (0.000, 0.000, 0.000)
Pr (0.000, 0.000, 0.500)
Pr (0.000, 0.500, 0.240)
Pr (0.000, 0.500, 0.760)
Zn (0.500, 0.000, 0.250)
Zn (0.500, 0.000, 0.750)
Zn (0.500, 0.500, 0.000)
Cd (0.500, 0.500, 0.500)

Compound: Mn12Co17
Source: Alexandria
Functional: PBE-GGA
Structure: relaxed

Computed properties:
Formation energy (eV per formula unit): 2.61

abc: 7.407 7.407 7.407
angles: 109.47 109.47 109.47
Fractional coordinates of all 29 atoms:
Mn (0.000, 0.633, 0.810)
Mn (0.000, 0.810, 0.633)
Mn (0.178, 0.367, 0.367)
Mn (0.190, 0.190, 0.822)
Mn (0.190, 0.822, 0.190)
Mn (0.367, 0.178, 0.367)
Mn (0.367, 0.367, 0.178)
Mn (0.633, 0.000, 0.810)
Mn (0.633, 0.810, 0.000)
Mn (0.810, 0.000, 0.633)
Mn (0.810, 0.633, 0.000)
Mn (0.822, 0.190, 0.190)
Co (0.000, 0.000, 0.000)
Co (0.000, 0.000, 0.356)
Co (0.000, 0.321, 0.612)
Co (0.000, 0.356, 0.000)
Co (0.000, 0.612, 0.321)
Co (0.290, 0.679, 0.679)
Co (0.321, 0.000, 0.612)
Co (0.321, 0.612, 0.000)
Co (0.356, 0.000, 0.000)
Co (0.388, 0.388, 0.710)
Co (0.388, 0.710, 0.388)
Co (0.612, 0.000, 0.321)
Co (0.612, 0.321, 0.000)
Co (0.644, 0.644, 0.644)
Co (0.679, 0.290, 0.679)
Co (0.679, 0.679, 0.290)
Co (0.710, 0.388, 0.388)

Compound: BaAgP
Source: Alexandria
Functional: PBE-GGA
Structure: relaxed

Computed properties:
Formation energy (eV per formula unit): -1.71

abc: 4.715 6.182 6.987
angles: 92.98 98.52 111.68
Fractional coordinates of all 6 atoms:
Ba (0.000, 0.000, 0.000)
Ba (0.395, 0.605, 0.399)
Ag (0.537, 0.274, 0.758)
Ag (0.684, 0.172, 0.376)
P (0.136, 0.030, 0.487)
P (0.758, 0.436, 0.091)

Compound: CdSiBr2
Source: Alexandria
Functional: PBE-GGA
Structure: relaxed

Computed properties:
Energy above the most stable polymorph in this dataset (kJ per mole of atoms): 24.2
Formation energy (no corrections) (eV per atom): 0.084

abc: 3.806 6.029 9.899
angles: 90.00 90.00 90.00
Fractional coordinates of all 8 atoms:
Cd (0.000, 0.000, 0.000)
Cd (0.500, 0.500, 0.000)
Si (0.000, 0.000, 0.500)
Si (0.500, 0.500, 0.500)
Br (0.000, 0.500, 0.307)
Br (0.000, 0.500, 0.693)
Br (0.500, 0.000, 0.307)
Br (0.500, 0.000, 0.693)

Compound: TiSb2PtI
Source: Alexandria
Functional: PBE-GGA
Structure: relaxed

Computed properties:
Energy above the most stable polymorph in this dataset (kJ per mole of atoms): 5.6
Formation energy (no corrections) (eV per atom): 0.682

abc: 5.215 5.215 5.455
angles: 90.00 90.00 90.00
Fractional coordinates of all 5 atoms:
Ti (0.000, 0.000, 0.000)
Sb (0.000, 0.500, 0.500)
Sb (0.500, 0.000, 0.500)
Pt (0.500, 0.500, 0.500)
I (0.500, 0.500, 0.000)

Compound: BaSiPt2
Source: Alexandria
Functional: PBE-GGA
Structure: relaxed

Computed properties:
Formation energy (no corrections) (eV per atom): -0.337

abc: 3.175 3.175 7.912
angles: 90.00 90.00 90.00
Fractional coordinates of all 4 atoms:
Ba (0.000, 0.000, 0.000)
Si (0.000, 0.000, 0.500)
Pt (0.500, 0.500, 0.327)
Pt (0.500, 0.500, 0.673)

Compound: BaTc2Rh
Source: Alexandria
Functional: PBE-GGA
Structure: relaxed

Computed properties:
Energy above the most stable polymorph in this dataset (kJ per mole of atoms): 28.3
Formation energy (eV per formula unit): 2.70

abc: 3.756 4.715 5.818
angles: 90.00 102.65 90.00
Fractional coordinates of all 4 atoms:
Ba (0.000, 0.000, 0.000)
Tc (0.281, 0.500, 0.617)
Tc (0.719, 0.500, 0.383)
Rh (0.500, 0.000, 0.500)

Compound: NaNd2AuO5
Source: Alexandria
Functional: PBE-GGA
Structure: relaxed

Computed properties:
Formation energy (no corrections) (eV per atom): -2.134

abc: 6.813 6.813 5.957
angles: 90.00 90.00 90.00
Fractional coordinates of all 18 atoms:
Na (0.000, 0.000, 0.000)
Na (0.500, 0.500, 0.000)
Nd (0.178, 0.322, 0.500)
Nd (0.322, 0.822, 0.500)
Nd (0.678, 0.178, 0.500)
Nd (0.822, 0.678, 0.500)
Au (0.000, 0.500, 0.000)
Au (0.500, 0.000, 0.000)
O (0.000, 0.000, 0.500)
O (0.136, 0.636, 0.255)
O (0.136, 0.636, 0.745)
O (0.364, 0.136, 0.255)
O (0.364, 0.136, 0.745)
O (0.500, 0.500, 0.500)
O (0.636, 0.864, 0.255)
O (0.636, 0.864, 0.745)
O (0.864, 0.364, 0.255)
O (0.864, 0.364, 0.745)

Compound: YBi3Sb
Source: Alexandria
Functional: PBE-GGA
Structure: relaxed

Computed properties:
Energy above the most stable polymorph in this dataset (kJ per mole of atoms): 0.0
Formation energy (no corrections) (eV per atom): 0.483

abc: 5.763 5.763 5.763
angles: 90.00 90.00 90.00
Fractional coordinates of all 5 atoms:
Y (0.000, 0.000, 0.000)
Bi (0.000, 0.500, 0.500)
Bi (0.500, 0.000, 0.500)
Bi (0.500, 0.500, 0.000)
Sb (0.500, 0.500, 0.500)

Compound: GaAgAsAuCl
Source: Alexandria
Functional: PBE-GGA
Structure: relaxed

Computed properties:
Energy above the most stable polymorph in this dataset (kJ per mole of atoms): 7.6
Formation energy (no corrections) (eV per atom): -0.101

abc: 3.614 3.927 8.892
angles: 84.69 78.32 89.98
Fractional coordinates of all 5 atoms:
Ga (0.000, 0.000, 0.000)
Ag (0.287, 0.454, 0.440)
As (0.149, 0.548, 0.722)
Au (0.673, 0.046, 0.670)
Cl (0.423, 0.438, 0.160)